# ScAs2

A relaxed structure of ScAs2 (PBE, Alexandria via LeMat-Bulk).

Formation energy from the elements in eV/atom: -0.107
Mass density in g cm⁻³: 5.275
Magnetic moment in μB per cell: 4.14

abc: 7.8869 7.8869 7.8869
angles: 90.00 90.00 90.00
Space group Fd-3m (No. 227, origin choice 2)
Symmetry-distinct sites (fractional):
Sc  0.1250  0.1250  0.1250 (multiplicity 8)
As  0.0000  0.0000  0.5000 (multiplicity 16)